(1)
Here is a relaxed InGa2IrO8 crystal from the Alexandria database. Energies are from PBE-GGA.

The structure in extended XYZ format:
```
12
Lattice="4.631 -0.031 -0.003 -0.006 4.634 -0.005 0.004 0.007 6.367" Properties=species:S:1:pos:R:3 pbc="T T T"
O 1.464 1.463 3.181
Ir 0.000 0.000 0.000
O 3.165 3.147 3.178
In 0.002 0.003 3.183
O 3.703 0.906 4.946
O 3.701 0.902 1.414
Ga 2.313 2.303 1.629
Ga 2.315 2.307 4.729
O 0.926 3.704 1.412
O 3.275 3.258 6.361
O 1.353 1.352 -0.002
O 0.928 3.708 4.945
```

Space group ... Cmmm (65)
Raw formation energy ... -1182 meV/atom
VASP energy ... -0.219 Ha/atom


(2)
Here is a relaxed InGaIrO6 crystal from the Alexandria database. Energies are from PBE-GGA.

The structure in extended XYZ format:
```
18
Lattice="5.172 0.000 0.000 -2.586 4.479 0.000 0.000 0.000 9.131" Properties=species:S:1:pos:R:3 pbc="T T T"
O 0.948 1.585 3.338
O -0.899 1.613 5.793
Ga 2.586 1.493 6.848
O 3.484 2.865 3.338
O 4.224 1.585 1.227
O -0.739 4.450 5.793
O 1.847 0.029 1.227
O 0.899 1.613 7.903
O -1.638 2.894 7.903
Ir 0.000 2.986 6.848
O 1.638 2.894 5.793
Ir 2.586 1.493 2.283
O 1.687 2.865 1.227
O 3.325 0.029 3.338
In 0.000 0.000 0.000
Ga 0.000 2.986 2.283
O 0.739 4.450 7.903
In 0.000 0.000 4.565
```

Space group ... P-31c (163)
Raw formation energy ... -1155 meV/atom
VASP energy ... -0.224 Ha/atom


(3)
Here is a relaxed In12Ga4Ir2O15 crystal from the Alexandria database. Energies are from PBE-GGA.

The structure in extended XYZ format:
```
66
Lattice="-5.345 2.365 -3.705 2.008 -4.499 -5.768 -11.476 -14.490 7.308" Properties=species:S:1:pos:R:3 pbc="T T T"
O -10.555 -8.839 3.163
O -10.836 -16.159 1.492
O -1.173 -5.012 -1.546
O -11.100 -12.558 0.986
In -12.787 -9.169 2.674
O -8.235 -6.456 1.297
O -4.135 -0.719 -4.126
Ga -3.093 -0.801 -5.679
In -5.857 -4.258 -3.733
O -13.616 -11.665 -0.687
Ir -7.400 -10.436 0.543
O -6.247 -14.504 -0.795
In -5.716 -12.411 -0.003
O -1.794 -2.302 -3.863
In -5.085 -2.961 -7.007
Ga -3.049 -5.326 -1.890
In -7.395 -8.338 -1.115
O -3.180 -6.949 -2.796
In -8.698 -15.972 1.884
O -10.779 -11.589 -1.822
O -3.030 -2.588 -6.377
Ga -4.742 -6.423 -6.611
In -8.008 -6.654 -5.291
In -5.227 -7.555 -3.413
In -6.245 -0.767 -4.074
Ga -6.837 -6.568 2.504
In -8.886 -4.114 -2.166
O -9.041 -14.400 0.252
In -11.415 -14.585 0.132
O -9.715 -4.228 -0.128
In 0.011 -0.025 -0.032
O -5.608 -6.883 1.064
O -10.156 -11.841 3.580
O -7.088 -7.937 3.679
In -6.247 -5.467 -0.468
O -3.730 -4.029 -3.103
In -4.022 -2.981 0.897
O 1.179 -2.643 -3.389
O -4.586 -9.363 -2.529
In -9.570 -13.612 4.788
O -13.001 -14.364 1.645
O -6.576 -6.582 -7.090
Ga -11.624 -16.039 3.238
In -4.803 -9.341 0.967
Ga -8.066 -14.696 -1.316
Ir -7.400 -6.219 -2.746
In -7.016 -10.070 3.130
O -11.379 -14.335 3.974
In -8.945 -12.392 1.537
Ga -11.766 -11.294 -0.269
In -9.544 -8.965 1.113
O -10.266 -7.364 -0.181
In -0.734 -3.163 -7.424
O -6.242 -3.339 0.373
Ir -14.341 -11.126 3.654
O -8.920 -10.191 -3.391
O -4.002 -5.040 -0.307
O -5.811 -2.198 -2.430
O -4.628 -4.791 -5.707
In -3.383 -1.855 -2.437
Ir -2.466 -1.029 -0.089
In -2.480 -4.099 -4.937
Ga -9.888 -5.773 0.822
In -8.581 -11.323 -1.641
O -11.674 -9.651 0.620
In -12.348 -12.712 2.911
```

Space group ... Pnn2 (34)
Raw formation energy ... -1341 meV/atom
VASP energy ... -0.202 Ha/atom


(4)
Here is a relaxed InGa2IrOs crystal from the Alexandria database. Energies are from PBE-GGA.

The structure in extended XYZ format:
```
5
Lattice="4.708 0.000 0.000 0.000 5.155 0.000 0.000 0.000 4.708" Properties=species:S:1:pos:R:3 pbc="T T T"
Os 2.354 2.577 2.354
Ga 2.354 0.000 0.000
In 0.000 2.577 0.000
Ga 0.000 0.000 2.354
Ir 0.000 0.000 0.000
```

Space group ... P4/mmm (123)
E_form ... 0.9151 eV/atom
VASP energy ... -0.179 Ha/atom